# 1
Compound: LaAl2Pt
Source: the Alexandria database
Functional: PBE
Structure: optimized geometry

abc: 4.9213 4.9213 9.1412
angles: 74.38 74.38 90.00
With the nearest neighbours (Å) after each atom.
Atoms (fractional coordinates):
1 Pt 0.0000 0.0000 0.0000  4 Al 2.45
2 La 0.5000 0.5000 0.0000  8 Al 3.38-3.56, 4 Pt 3.48
3 Al 0.8750 0.0982 0.7500  2 Pt 2.45, 2 Al 2.47
4 Pt 0.7500 0.2500 0.5000  4 Al 2.45
5 Al 0.8482 0.1250 0.2500  2 Pt 2.45, 2 Al 2.47
6 La 0.2500 0.7500 0.5000  8 Al 3.38-3.56, 4 Pt 3.48
7 Al 0.3750 0.1518 0.7500  2 Pt 2.45, 2 Al 2.47
8 Al 0.9018 0.6250 0.2500  2 Pt 2.45, 2 Al 2.47

- size of the total moment (μB per cell) = 0.000
- symmetry = I-42d, No. 122
- calculated volume (A^3/atom) = 25.59
- ΔH_f (0 K) (eV per atom) = -0.518
- final energy (eV/atom) = -5.13

=====

# 2
Compound: Na2MnRu
Source: the Alexandria database
Functional: PBE
Structure: optimized geometry

abc: 8.1104 8.1104 6.2366
angles: 49.44 49.44 90.00
With the nearest neighbours (Å) after each atom.
Atoms (fractional coordinates):
1 Mn 0.2500 0.7500 0.5000  2 Ru 2.45
2 Na 0.6318 0.1250 0.2500  2 Na 2.45
3 Mn 0.5000 0.5000 0.0000  2 Ru 2.45
4 Na 0.8750 0.8818 0.7500  2 Na 2.45
5 Ru 0.7500 0.2500 0.5000  2 Mn 2.45
6 Na 0.3750 0.3682 0.7500  2 Na 2.45
7 Ru 0.0000 0.0000 0.0000  2 Mn 2.45
8 Na 0.1182 0.6250 0.2500  2 Na 2.45

- offset from the most stable computed form (kJ/mol of formula units) = 0
- size of the total moment (μB per cell) = 9.475
- symmetry = I-42d, No. 122
- calculated volume (A^3/atom) = 20.15
- ΔH_f (0 K) (eV per atom) = 1.080
- final energy (eV/atom) = -4.19

=====

# 3
Compound: Na2TlInO
Source: the Alexandria database
Functional: PBE
Structure: optimized geometry

abc: 6.4425 6.4425 4.1027
angles: 90.00 90.00 90.00
With the nearest neighbours (Å) after each atom.
Atoms (fractional coordinates):
1 O 0.0000 0.0000 0.5000  2 In 2.05
2 In 0.0000 0.0000 0.0000  2 O 2.05
3 Tl 0.5000 0.5000 0.5000  8 Na 3.82, 2 Tl 4.10
4 Na 0.0000 0.5000 0.0000  2 In 3.22
5 Na 0.5000 0.0000 0.0000  2 In 3.22

- offset from the most stable computed form (kJ/mol of formula units) = 236
- raw formation energy (eV/atom) = -0.095
- size of the total moment (μB per cell) = 0.000
- symmetry = P4/mmm, No. 123
- calculated volume (A^3/atom) = 34.06
- final energy (eV/atom) = -2.64

=====

# 4
Compound: Sm2CuP4Rh3
Source: the Alexandria database
Functional: PBE
Structure: optimized geometry

abc: 4.1702 4.1702 9.5053
angles: 90.00 90.00 90.00
With the nearest neighbours (Å) after each atom.
Atoms (fractional coordinates):
1 P 0.0000 0.5000 0.3636  3 Rh 2.39-2.46, 2 Cu 2.46
2 Sm 0.5000 0.0000 0.2454  8 P 3.13-3.16, 2 Cu 3.19, 7 Rh 3.19-3.40
3 Rh 0.0000 0.0000 0.5000  4 P 2.46
4 Rh 0.5000 0.0000 0.8874  5 P 2.34-2.39
5 Cu 0.5000 0.5000 0.5000  4 P 2.46
6 Sm 0.0000 0.5000 0.7546  8 P 3.13-3.16, 7 Rh 3.19-3.40, 2 Cu 3.19
7 P 0.0000 0.0000 0.0000  4 Rh 2.34
8 P 0.5000 0.0000 0.6364  3 Rh 2.39-2.46, 2 Cu 2.46
9 Rh 0.0000 0.5000 0.1126  5 P 2.34-2.39
10 P 0.5000 0.5000 0.0000  4 Rh 2.34

- size of the total moment (μB per cell) = 0.000
- symmetry = P-4m2, No. 115
- calculated volume (A^3/atom) = 16.53
- ΔH_f (0 K) (eV per atom) = -0.990
- final energy (eV/atom) = -6.71

=====

# 5
Compound: Cr2SiP
Source: the Alexandria database
Functional: PBE
Structure: optimized geometry

abc: 2.8264 2.8264 5.8302
angles: 90.00 90.00 90.00
With the nearest neighbours (Å) after each atom.
Atoms (fractional coordinates):
1 Cr 0.0000 0.0000 0.0199  4 P 2.41, 4 Si 2.54, 1 Cr 2.68
2 Si 0.5000 0.5000 0.7500  8 Cr 2.54, 4 Si 2.83
3 P 0.5000 0.5000 0.2500  8 Cr 2.41
4 Cr 0.0000 0.0000 0.4801  4 P 2.41, 4 Si 2.54, 1 Cr 2.68

- offset from the most stable computed form (kJ/mol of formula units) = 72
- raw formation energy (eV/atom) = -0.145
- size of the total moment (μB per cell) = 0.001
- symmetry = P4/mmm, No. 123
- calculated volume (A^3/atom) = 11.64
- final energy (eV/atom) = -7.66

=====

# 6
Compound: CaFe2Te
Source: the Alexandria database
Functional: PBE
Structure: optimized geometry

abc: 4.4134 4.1602 4.1602
angles: 90.00 90.00 90.00
With the nearest neighbours (Å) after each atom.
Atoms (fractional coordinates):
1 Te 0.5000 0.5000 0.0000  4 Ca 2.94, 8 Fe 3.03
2 Fe 0.0000 0.0000 0.0000  4 Fe 2.94, 4 Te 3.03, 4 Ca 3.03
3 Ca 0.5000 0.0000 0.5000  4 Te 2.94, 8 Fe 3.03
4 Fe 0.0000 0.5000 0.5000  4 Fe 2.94, 4 Ca 3.03, 4 Te 3.03

- offset from the most stable computed form (kJ/mol of formula units) = 130
- raw formation energy (eV/atom) = 0.223
- size of the total moment (μB per cell) = 5.220
- symmetry = P4/mmm, No. 123
- calculated volume (A^3/atom) = 19.10
- final energy (eV/atom) = -5.29

=====

Q: Which of these has the highest calculated volume?
A: Na2TlInO

=====

Q: What is the formula in the fifth record?
A: Cr2SiP

=====

Q: Look up the size of the total moment of the first one.
A: 0.000 μB per cell